# 1
Material: FeIF
Method: DFT, PBE with a Hubbard U
State: optimized geometry

a b c (Å): 6.137 3.761 7.053
angles (deg): 90.00 107.85 90.00
Fractional positions:
Fe 0.230 0.250 0.010
Fe 0.770 0.750 0.990
I 0.323 0.750 0.729
I 0.677 0.250 0.271
F 0.138 0.750 0.113
F 0.862 0.250 0.887

Output
Raw total energy ... -0.161 hartree per atom
Magnetic moment ... 8.00 μB per cell

# 2
Material: Fe2IF
Method: DFT, PBE with a Hubbard U
State: optimized geometry

a b c (Å): 6.525 6.525 6.525
angles (deg): 90.00 90.00 90.00
Fractional positions:
Fe 0.250 0.250 0.250
Fe 0.250 0.250 0.750
Fe 0.250 0.750 0.250
Fe 0.250 0.750 0.750
Fe 0.750 0.250 0.250
Fe 0.750 0.250 0.750
Fe 0.750 0.750 0.250
Fe 0.750 0.750 0.750
I 0.000 0.000 0.000
I 0.000 0.500 0.500
I 0.500 0.000 0.500
I 0.500 0.500 0.000
F 0.000 0.000 0.500
F 0.000 0.500 0.000
F 0.500 0.000 0.000
F 0.500 0.500 0.500

Output
Magnetic moment ... 24.00 μB per cell
Relative energy among the computed polymorphs ... 160.6 meV/atom

# 3
Material: Fe2IF
Method: DFT, PBE with a Hubbard U
State: optimized geometry

a b c (Å): 5.010 5.010 13.296
angles (deg): 90.00 90.00 90.00
Fractional positions:
Fe 0.128 0.250 0.125
Fe 0.250 0.628 0.375
Fe 0.250 0.872 0.875
Fe 0.372 0.250 0.625
Fe 0.628 0.750 0.625
Fe 0.750 0.128 0.875
Fe 0.750 0.372 0.375
Fe 0.872 0.750 0.125
I 0.000 0.000 0.500
I 0.000 0.500 0.750
I 0.500 0.000 0.250
I 0.500 0.500 0.000
F 0.000 0.000 0.000
F 0.000 0.500 0.250
F 0.500 0.000 0.750
F 0.500 0.500 0.500

Output
Magnetic moment ... 24.26 μB per cell
Relative energy among the computed polymorphs ... 0.0 meV/atom

# 4
Material: Fe2I3F
Method: DFT, PBE with a Hubbard U
State: optimized geometry

a b c (Å): 9.752 9.752 12.277
angles (deg): 117.09 117.09 23.64
Fractional positions:
Fe 0.216 0.216 0.105
Fe 0.283 0.283 0.658
Fe 0.717 0.717 0.342
Fe 0.784 0.784 0.895
I 0.104 0.104 0.194
I 0.335 0.335 0.474
I 0.358 0.358 0.092
I 0.642 0.642 0.908
I 0.665 0.665 0.526
I 0.896 0.896 0.806
F 0.251 0.251 0.796
F 0.749 0.749 0.204

Output
Raw total energy ... -0.142 hartree per atom
Magnetic moment ... 16.00 μB per cell

# 5
Material: FeINF2
Method: DFT, PBE with a Hubbard U
State: optimized geometry

a b c (Å): 3.827 3.827 5.207
angles (deg): 90.00 90.00 90.00
Fractional positions:
Fe 0.000 0.000 0.000
I 0.500 0.500 0.500
N 0.000 0.000 0.500
F 0.000 0.500 0.000
F 0.500 0.000 0.000

Output
Magnetic moment ... 4.97 μB per cell
Relative energy among the computed polymorphs ... 0.0 meV/atom

# 6
Material: FeIN2F
Method: DFT, PBE with a Hubbard U
State: optimized geometry

a b c (Å): 3.682 3.682 6.409
angles (deg): 90.00 90.00 90.00
Fractional positions:
Fe 0.000 0.000 0.000
I 0.000 0.000 0.500
N 0.000 0.500 0.000
N 0.500 0.000 0.000
F 0.500 0.500 0.500

Output
Magnetic moment ... 2.90 μB per cell
Relative energy among the computed polymorphs ... 341.1 meV/atom

# 7
Material: FeINF2
Method: DFT, PBE with a Hubbard U
State: optimized geometry

a b c (Å): 4.856 4.856 4.044
angles (deg): 90.00 90.00 90.00
Fractional positions:
Fe 0.000 0.000 0.000
I 0.500 0.500 0.500
N 0.500 0.500 0.000
F 0.000 0.500 0.500
F 0.500 0.000 0.500

Output
Magnetic moment ... 4.91 μB per cell
Relative energy among the computed polymorphs ... 892.5 meV/atom

# 8
Material: FeIN2F
Method: DFT, PBE with a Hubbard U
State: optimized geometry

a b c (Å): 4.207 4.207 4.740
angles (deg): 90.00 90.00 90.00
Fractional positions:
Fe 0.000 0.000 0.000
I 0.500 0.500 0.000
N 0.000 0.500 0.500
N 0.500 0.000 0.500
F 0.500 0.500 0.500

Output
Magnetic moment ... 7.05 μB per cell
Relative energy among the computed polymorphs ... 1416.7 meV/atom

magnetic moment of number 2 (Fe2IF)? 24.00 μB per cell